A) # Tl2HgSe

Crystalline Tl2HgSe at its relaxed geometry (PBEsol, Alexandria via LeMat-Bulk).

Results
- Fermi-level density of states (states/eV/cell) = 1.10
- V (Å³/atom) = 26.56
- size of the total moment (μB/atom) = 0.000

Unit cell a=3.7265 b=3.7265 c=7.6503 alpha=90.00 beta=90.00 gamma=90.00
Last column: nearest neighbours and their distance in Å.
Element x y z (fractional)
Tl: 0.0000 0.0000 0.7223  4 Se 3.14, 4 Hg 3.38, 1 Tl 3.40
Tl: 0.0000 0.0000 0.2777  4 Se 3.14, 4 Hg 3.38, 1 Tl 3.40
Hg: 0.5000 0.5000 0.0000  8 Tl 3.38, 4 Hg 3.73
Se: 0.5000 0.5000 0.5000  8 Tl 3.14

---

B) # Tl2HgSe

Crystalline Tl2HgSe at its relaxed geometry (PBEsol, Alexandria via LeMat-Bulk).

Results
- Fermi-level density of states (states/eV/cell) = 0.86
- V (Å³/atom) = 26.18
- size of the total moment (μB/atom) = 0.000

Unit cell a=3.7783 b=3.7783 c=7.3347 alpha=90.00 beta=90.00 gamma=90.00
Last column: nearest neighbours and their distance in Å.
Element x y z (fractional)
Hg: 0.0000 0.0000 0.5189  4 Se 3.13, 5 Tl 3.17-3.20
Se: 0.5000 0.5000 0.7400  5 Tl 3.10-3.33, 4 Hg 3.13
Tl: 0.0000 0.0000 0.9552  4 Se 3.10, 1 Hg 3.20
Tl: 0.5000 0.5000 0.2859  4 Hg 3.17, 1 Se 3.33

---

Stability comparison, relative energies in kJ/mol of atoms: A) 0.0; B) 5.7

---

A) # Tl2HgSe

Crystalline Tl2HgSe at its relaxed geometry (PBEsol, Alexandria via LeMat-Bulk).

Results
- Fermi-level density of states (states/eV/cell) = 2.22
- V (Å³/atom) = 27.77
- size of the total moment (μB/atom) = 0.000

Unit cell a=6.6575 b=6.6575 c=6.6575 alpha=104.83 beta=104.83 gamma=119.22
Last column: nearest neighbours and their distance in Å.
Element x y z (fractional)
Tl: 0.8596 0.8750 0.4846  2 Se 2.91, 2 Hg 3.08
Tl: 0.3904 0.3750 0.5154  2 Se 2.91, 2 Hg 3.08
Tl: 0.1250 0.6096 0.9846  2 Se 2.91, 2 Hg 3.08
Tl: 0.6250 0.1404 0.0154  2 Se 2.91, 2 Hg 3.08
Hg: 0.0000 0.0000 0.0000  4 Tl 3.08, 2 Se 3.37
Hg: 0.2500 0.7500 0.5000  4 Tl 3.08, 2 Se 3.37
Se: 0.5000 0.5000 0.0000  4 Tl 2.91
Se: 0.7500 0.2500 0.5000  4 Tl 2.91

---

B) # Tl2HgSe

Crystalline Tl2HgSe at its relaxed geometry (PBEsol, Alexandria via LeMat-Bulk).

Results
- Fermi-level density of states (states/eV/cell) = 0.66
- V (Å³/atom) = 28.25
- size of the total moment (μB/atom) = 0.000

Unit cell a=4.2960 b=4.7557 c=5.8220 alpha=108.19 beta=90.00 gamma=90.00
Last column: nearest neighbours and their distance in Å.
Element x y z (fractional)
Tl: 0.0000 0.0002 0.9302  2 Se 2.96, 2 Hg 3.14-3.23
Tl: 0.5000 0.7533 0.3027  2 Se 2.99-3.33, 2 Hg 3.07
Hg: 0.0000 0.4008 0.4736  2 Se 2.91, 4 Tl 3.07-3.23
Se: 0.5000 0.3457 0.7935  2 Hg 2.91, 3 Tl 2.96-2.99

---

Stability comparison, relative energies in kJ/mol of atoms: A) 1.1; B) 0.0

---

A) # HgW2Se

Crystalline HgW2Se at its relaxed geometry (PBEsol, Alexandria via LeMat-Bulk).

Results
- Fermi-level density of states (states/eV/cell) = 3.66
- V (Å³/atom) = 17.06
- size of the total moment (μB/atom) = 0.000

Unit cell a=3.0331 b=4.8176 c=5.4691 alpha=116.13 beta=106.10 gamma=90.00
Last column: nearest neighbours and their distance in Å.
Element x y z (fractional)
Hg: 0.5000 0.0000 0.0000  4 Se 2.85, 8 W 3.03-3.16, 2 Hg 3.03
Se: 0.0000 0.5000 0.0000  4 W 2.55, 4 Hg 2.85
W: 0.7192 0.7192 0.4385  2 Se 2.55
W: 0.2808 0.2808 0.5615  2 Se 2.55

---

B) # HgW2Se

Crystalline HgW2Se at its relaxed geometry (PBEsol, Alexandria via LeMat-Bulk).

Results
- Fermi-level density of states (states/eV/cell) = 3.12
- V (Å³/atom) = 16.91
- size of the total moment (μB/atom) = 0.000

Unit cell a=2.9623 b=4.4682 c=5.5109 alpha=99.97 beta=90.00 gamma=109.36
Last column: nearest neighbours and their distance in Å.
Element x y z (fractional)
Hg: 0.5000 0.0000 0.0000  6 W 2.79-2.82, 2 Hg 2.96
Se: 0.0000 0.0000 0.5000  6 W 2.65-2.66, 2 Se 2.96
W: 0.7451 0.4902 0.7213  3 Se 2.65-2.66, 3 Hg 2.79-2.82, 4 W 2.87-2.96
W: 0.2549 0.5098 0.2787  3 Se 2.65-2.66, 3 Hg 2.79-2.82, 4 W 2.87-2.96

---

Stability comparison, relative energies in kJ/mol of atoms: A) 7.3; B) 0.0

---

A) # ZnHg2Se

Crystalline ZnHg2Se at its relaxed geometry (PBEsol, Alexandria via LeMat-Bulk).

Results
- Fermi-level density of states (states/eV/cell) = 1.01
- V (Å³/atom) = 22.50
- size of the total moment (μB/atom) = 0.000

Unit cell a=3.8693 b=3.8693 c=6.6043 alpha=107.03 beta=107.03 gamma=90.00
Last column: nearest neighbours and their distance in Å.
Element x y z (fractional)
Hg: 0.7500 0.2500 0.5000  4 Hg 2.74
Hg: 0.2500 0.7500 0.5000  4 Hg 2.74
Se: 0.5000 0.5000 0.0000  4 Zn 2.74
Zn: 0.0000 0.0000 0.0000  4 Se 2.74

---

B) # ZnHg2Se

Crystalline ZnHg2Se at its relaxed geometry (PBEsol, Alexandria via LeMat-Bulk).

Results
- Fermi-level density of states (states/eV/cell) = 1.81
- V (Å³/atom) = 20.99
- size of the total moment (μB/atom) = 0.000

Unit cell a=2.7529 b=3.8497 c=7.9237 alpha=90.00 beta=90.00 gamma=90.00
Last column: nearest neighbours and their distance in Å.
Element x y z (fractional)
Hg: 0.0000 0.0000 0.7245  2 Hg 2.75, 4 Zn 2.96
Hg: 0.0000 0.0000 0.2755  2 Hg 2.75, 4 Zn 2.96
Se: 0.5000 0.5000 0.0000  2 Se 2.75
Zn: 0.5000 0.5000 0.5000  2 Zn 2.75, 8 Hg 2.96

---

Stability comparison, relative energies in kJ/mol of atoms: A) 0.0; B) 10.1